TlAg8Se5 | PBE | relaxed

## Properties
raw formation energy = 9.4 kJ/mol of atoms

a b c (Å): 11.4803 11.4803 11.4803
angles (deg): 90.00 90.00 90.00
Last column: nearest neighbours and their distance in Å.
Space group F-43m (No. 216)
Asymmetric unit:
Tl 0.0000 0.0000 0.0000 x4  4 Ag 3.07
Ag 0.1222 0.1222 0.6222 x16  4 Se 2.54-2.74
Ag 0.1542 0.1542 0.1542 x16  3 Se 2.71
Se 0.1162 0.1162 0.3838 x16  6 Ag 2.71-2.74
Se 0.2500 0.2500 0.7500 x4  4 Ag 2.54